Record 1
Entry from the Alexandria database: crystalline GaNi3Pt4 at its relaxed geometry (PBE-GGA).

Geometry as POSCAR:
```
GaNi3Pt4
1.0
3.869 0.000 0.000
0.000 2.599 -0.883
-1.934 -3.017 12.591
Pt Ni Ga
4 3 1
Direct
0.098 0.494 0.196
0.335 0.666 0.669
0.902 0.506 0.804
0.665 0.334 0.331
0.000 0.500 0.000
0.781 0.897 0.562
0.219 0.103 0.438
0.500 0.000 0.000
```

- ΔH_f (0 K): -0.077 eV per atom
- Space-group type: No. 12
- E_tot: -45.1 eV per cell


Record 2
Entry from the Alexandria database: crystalline Ga2NiPt6 at its relaxed geometry (PBE-GGA).

Geometry as POSCAR:
```
Ga2NiPt6
1.0
-0.527 2.399 -3.224
-1.550 -2.180 -3.917
-8.155 1.082 -0.409
Ga Ni Pt
2 1 6
Direct
0.667 0.393 0.272
0.333 0.607 0.728
0.000 0.500 0.500
0.332 0.277 0.058
0.668 0.723 0.942
0.006 0.168 0.821
0.656 0.097 0.591
0.994 0.832 0.179
0.344 0.903 0.409
```

- ΔH_f (0 K): -0.351 eV per atom
- Space-group type: No. 12
- E_tot: -51.2 eV per cell


Record 3
Entry from the Alexandria database: crystalline GaNi3Pt4 at its relaxed geometry (PBE-GGA).

Geometry as POSCAR:
```
GaNi3Pt4
1.0
-2.136 -3.099 -1.070
3.227 -2.213 -0.036
-1.608 0.995 7.486
Ni Pt Ga
3 4 1
Direct
0.751 0.251 0.502
0.249 0.749 0.498
0.000 0.500 0.000
0.874 0.874 0.748
0.126 0.126 0.252
0.374 0.374 0.748
0.626 0.626 0.252
0.500 0.000 0.000
```

- ΔH_f (0 K): -0.269 eV per atom
- Space-group type: No. 139
- E_tot: -46.7 eV per cell


Record 4
Entry from the Alexandria database: crystalline GaNi4Pt2 at its relaxed geometry (PBE-GGA).

Geometry as POSCAR:
```
GaNi4Pt2
1.0
-2.359 -2.905 3.478
-3.624 -0.150 -5.007
5.936 -2.764 -2.223
Pt Ni Ga
4 8 2
Direct
0.683 0.466 0.752
0.084 0.362 0.621
0.645 0.917 0.330
0.517 0.322 0.298
0.794 0.072 0.768
0.503 0.800 0.905
0.244 0.025 0.453
0.923 0.218 0.180
0.978 0.755 0.603
0.828 0.603 0.170
0.208 0.497 0.041
0.393 0.167 0.880
0.097 0.894 0.022
0.352 0.654 0.476
```

- ΔH_f (0 K): -0.194 eV per atom
- Space-group type: No. 1
- E_tot: -79.2 eV per cell


Record 5
Entry from the Alexandria database: crystalline Ga2Ni3Pt at its relaxed geometry (PBE-GGA).

Geometry as POSCAR:
```
Ga2Ni3Pt
1.0
-4.048 6.668 -0.182
0.264 -0.053 -7.799
-2.533 -5.998 3.859
Ni Ga Pt
12 8 4
Direct
0.708 0.292 0.000
0.125 0.875 0.750
0.542 0.042 0.500
0.125 0.375 0.250
0.125 0.875 0.250
0.958 0.458 0.500
0.292 0.292 0.000
0.708 0.708 0.000
0.542 0.458 0.500
0.292 0.708 0.000
0.958 0.042 0.500
0.625 0.875 0.750
0.964 0.647 0.293
0.921 0.103 0.207
0.897 0.714 0.793
0.329 0.647 0.293
0.353 0.671 0.707
0.353 0.036 0.707
0.286 0.103 0.207
0.897 0.079 0.793
0.576 0.076 0.152
0.674 0.674 0.348
0.326 0.326 0.652
0.924 0.424 0.848
```

- ΔH_f (0 K): -0.262 eV per atom
- Space-group type: No. 141
- E_tot: -124.0 eV per cell


Record 6
Entry from the Alexandria database: crystalline Ga2Ni2Pt3 at its relaxed geometry (PBE-GGA).

Geometry as POSCAR:
```
Ga2Ni2Pt3
1.0
2.761 0.000 -0.473
-0.155 3.892 -0.907
0.144 0.080 9.137
Ga Ni Pt
2 2 3
Direct
0.643 0.143 0.286
0.357 0.857 0.714
0.567 0.567 0.133
0.433 0.433 0.867
0.799 0.299 0.599
0.000 0.000 0.000
0.201 0.701 0.401
```

- ΔH_f (0 K): -0.363 eV per atom
- Space-group type: No. 71
- E_tot: -38.3 eV per cell


Record 7
Entry from the Alexandria database: crystalline Ga2Ni6Pt at its relaxed geometry (PBE-GGA).

Geometry as POSCAR:
```
Ga2Ni6Pt
1.0
4.282 -0.020 -0.011
0.027 5.755 0.006
0.027 2.872 4.987
Pt Ni Ga
1 6 2
Direct
0.000 0.000 0.000
0.664 0.608 0.196
0.336 0.392 0.804
0.336 0.804 0.392
0.664 0.196 0.608
0.336 0.803 0.803
0.664 0.197 0.197
0.833 0.666 0.666
0.167 0.334 0.334
```

- ΔH_f (0 K): 0.155 eV per atom
- Space-group type: No. 12
- E_tot: -45.4 eV per cell


Record 8
Entry from the Alexandria database: crystalline Ga4Ni7Pt at its relaxed geometry (PBE-GGA).

Geometry as POSCAR:
```
Ga4Ni7Pt
1.0
-4.148 -0.053 1.809
-4.802 -2.853 -5.435
-1.348 -4.546 2.438
Ni Ga Pt
7 4 1
Direct
0.500 0.000 0.000
0.359 0.527 0.756
0.641 0.473 0.244
0.786 0.914 0.515
0.214 0.086 0.485
0.062 0.656 0.219
0.938 0.344 0.781
0.255 0.328 0.162
0.594 0.226 0.587
0.745 0.672 0.838
0.406 0.774 0.413
0.000 0.000 0.000
```

- ΔH_f (0 K): -0.029 eV per atom
- Space-group type: No. 12
- E_tot: -59.0 eV per cell